# 1
{"formula": "CaTb4Sm2Y", "functional": "PBE", "state": "relaxed", "lattice_angstrom": [[6.902, -6.688, 0.000], [6.902, 6.688, 0.000], [-3.389, 0.000, 5.959]], "species": ["Ca", "Ca", "Tb", "Tb", "Tb", "Tb", "Tb", "Tb", "Tb", "Tb", "Sm", "Sm", "Sm", "Sm", "Y", "Y"], "frac_coords": [[0.000, 0.000, 0.000], [0.000, 0.000, 0.500], [0.242, 0.736, 0.987], [0.264, 0.266, 0.525], [0.264, 0.758, 0.513], [0.266, 0.264, 0.025], [0.734, 0.736, 0.975], [0.736, 0.242, 0.487], [0.736, 0.734, 0.475], [0.758, 0.264, 0.013], [0.000, 0.500, 0.500], [0.500, 0.000, 0.000], [0.500, 0.500, 0.000], [0.500, 0.500, 0.500], [0.000, 0.500, 0.000], [0.500, 0.000, 0.500]], "dos_ef_per_ev_cell": 35.15, "ef_ev_per_atom": 0.4265}

***

# 2
{"formula": "CaTb2Sm6Y3", "functional": "PBE", "state": "relaxed", "lattice_angstrom": [[3.140, -5.439, 0.000], [3.140, 5.439, 0.000], [-2.085, 0.000, 11.733]], "species": ["Ca", "Tb", "Tb", "Sm", "Sm", "Sm", "Sm", "Sm", "Sm", "Y", "Y", "Y"], "frac_coords": [[0.000, 0.000, 0.000], [0.333, 0.667, 0.000], [0.667, 0.333, 0.000], [0.085, 0.425, 0.253], [0.255, 0.255, 0.747], [0.425, 0.085, 0.253], [0.575, 0.915, 0.747], [0.745, 0.745, 0.253], [0.915, 0.575, 0.747], [0.166, 0.834, 0.500], [0.500, 0.500, 0.500], [0.834, 0.166, 0.500]], "dos_ef_per_ev_cell": 14.65, "ef_ev_per_atom": 0.0359}

***

# 3
{"formula": "CaSmTc", "functional": "PBE", "state": "relaxed", "lattice_angstrom": [[15.606, 0.000, 0.000], [0.000, 4.114, 0.000], [-1.093, 0.000, 5.715]], "species": ["Ca", "Ca", "Ca", "Ca", "Sm", "Sm", "Sm", "Sm", "Tc", "Tc", "Tc", "Tc"], "frac_coords": [[0.081, 0.000, 0.297], [0.419, 0.500, 0.703], [0.581, 0.500, 0.297], [0.919, 0.000, 0.703], [0.162, 0.500, 0.852], [0.338, 0.000, 0.148], [0.662, 0.000, 0.852], [0.838, 0.500, 0.148], [0.246, 0.500, 0.393], [0.254, 0.000, 0.607], [0.746, 0.000, 0.393], [0.754, 0.500, 0.607]], "dos_ef_per_ev_cell": 16.50, "ef_ev_per_atom": 0.1229}

***

# 4
{"formula": "CaSmTc4", "functional": "PBE", "state": "relaxed", "lattice_angstrom": [[0.000, 3.842, 3.842], [3.842, 0.000, 3.842], [3.842, 3.842, 0.000]], "species": ["Ca", "Sm", "Tc", "Tc", "Tc", "Tc"], "frac_coords": [[0.000, 0.000, 0.000], [0.250, 0.250, 0.250], [0.125, 0.625, 0.625], [0.625, 0.125, 0.625], [0.625, 0.625, 0.125], [0.625, 0.625, 0.625]], "dos_ef_per_ev_cell": 5.05, "ef_ev_per_atom": 0.1040}

***

# 5
{"formula": "CaSm4Tc", "functional": "PBE", "state": "relaxed", "lattice_angstrom": [[6.073, 0.000, 0.000], [0.000, 6.893, 0.000], [-1.987, 0.000, 9.365]], "species": ["Ca", "Ca", "Sm", "Sm", "Sm", "Sm", "Sm", "Sm", "Sm", "Sm", "Tc", "Tc"], "frac_coords": [[0.222, 0.250, 0.449], [0.778, 0.750, 0.551], [0.136, 0.250, 0.065], [0.211, 0.750, 0.317], [0.342, 0.506, 0.800], [0.342, 0.994, 0.800], [0.658, 0.006, 0.200], [0.658, 0.494, 0.200], [0.789, 0.250, 0.683], [0.864, 0.750, 0.935], [0.322, 0.750, 0.051], [0.678, 0.250, 0.949]], "dos_ef_per_ev_cell": 14.98, "ef_ev_per_atom": 0.0722}

***

# 6
{"formula": "Ca4Sm3Te8", "functional": "PBE", "state": "relaxed", "lattice_angstrom": [[4.459, 2.575, 8.151], [-4.459, 2.575, 8.151], [0.000, -5.149, 8.151]], "species": ["Ca", "Ca", "Ca", "Ca", "Sm", "Sm", "Sm", "Te", "Te", "Te", "Te", "Te", "Te", "Te", "Te"], "frac_coords": [[0.000, 0.000, 0.000], [0.144, 0.144, 0.144], [0.500, 0.500, 0.500], [0.856, 0.856, 0.856], [0.000, 0.500, 0.500], [0.500, 0.000, 0.500], [0.500, 0.500, 0.000], [0.249, 0.249, 0.738], [0.249, 0.738, 0.249], [0.262, 0.751, 0.751], [0.264, 0.264, 0.264], [0.736, 0.736, 0.736], [0.738, 0.249, 0.249], [0.751, 0.262, 0.751], [0.751, 0.751, 0.262]], "e_form_raw_kj_per_mol_atoms": -136.0, "de_polymorph_kj_per_mol_fu": 159.7, "dos_ef_per_ev_cell": 4.39}

***

# 7
{"formula": "CaSm5Te8", "functional": "PBE", "state": "relaxed", "lattice_angstrom": [[-4.731, 4.731, 4.766], [4.731, -4.731, 4.766], [4.731, 4.731, -4.766]], "species": ["Ca", "Sm", "Sm", "Sm", "Sm", "Sm", "Te", "Te", "Te", "Te", "Te", "Te", "Te", "Te"], "frac_coords": [[0.000, 0.000, 0.000], [0.252, 0.120, 0.628], [0.376, 0.748, 0.868], [0.493, 0.624, 0.372], [0.750, 0.250, 0.500], [0.880, 0.507, 0.132], [0.123, 0.371, 0.397], [0.129, 0.380, 0.895], [0.274, 0.877, 0.249], [0.485, 0.233, 0.105], [0.620, 0.515, 0.748], [0.629, 0.025, 0.751], [0.767, 0.871, 0.252], [0.975, 0.726, 0.603]], "e_form_raw_kj_per_mol_atoms": -137.6, "dos_ef_per_ev_cell": 6.14}

***

# 8
{"formula": "CaSm4Te6", "functional": "PBE", "state": "relaxed", "lattice_angstrom": [[2.200, -7.282, 0.000], [2.200, 7.282, 0.000], [0.000, 0.000, 22.843]], "species": ["Ca", "Ca", "Sm", "Sm", "Sm", "Sm", "Sm", "Sm", "Sm", "Sm", "Te", "Te", "Te", "Te", "Te", "Te", "Te", "Te", "Te", "Te", "Te", "Te"], "frac_coords": [[0.160, 0.840, 0.750], [0.840, 0.160, 0.250], [0.088, 0.912, 0.129], [0.088, 0.912, 0.371], [0.359, 0.641, 0.038], [0.359, 0.641, 0.462], [0.641, 0.359, 0.538], [0.641, 0.359, 0.962], [0.912, 0.088, 0.629], [0.912, 0.088, 0.871], [0.000, 0.000, 0.000], [0.000, 0.000, 0.500], [0.184, 0.816, 0.250], [0.270, 0.730, 0.590], [0.270, 0.730, 0.910], [0.447, 0.553, 0.165], [0.447, 0.553, 0.335], [0.553, 0.447, 0.665], [0.553, 0.447, 0.835], [0.730, 0.270, 0.090], [0.730, 0.270, 0.410], [0.816, 0.184, 0.750]], "e_form_raw_kj_per_mol_atoms": -139.4, "dos_ef_per_ev_cell": 7.35}

***

# 9
{"formula": "CaSm2Te4", "functional": "PBE", "state": "relaxed", "lattice_angstrom": [[2.202, -7.274, 0.000], [2.202, 7.274, 0.000], [0.000, 0.000, 15.344]], "species": ["Ca", "Ca", "Sm", "Sm", "Sm", "Sm", "Te", "Te", "Te", "Te", "Te", "Te", "Te", "Te"], "frac_coords": [[0.115, 0.885, 0.750], [0.885, 0.115, 0.250], [0.365, 0.635, 0.571], [0.365, 0.635, 0.929], [0.635, 0.365, 0.071], [0.635, 0.365, 0.429], [0.000, 0.000, 0.000], [0.000, 0.000, 0.500], [0.277, 0.723, 0.121], [0.277, 0.723, 0.379], [0.461, 0.539, 0.750], [0.539, 0.461, 0.250], [0.723, 0.277, 0.621], [0.723, 0.277, 0.879]], "e_form_raw_kj_per_mol_atoms": -139.7, "de_polymorph_kj_per_mol_fu": 11.3, "dos_ef_per_ev_cell": 0.00}

***

# 10
{"formula": "CaSm2Te3", "functional": "PBE", "state": "relaxed", "lattice_angstrom": [[4.419, 0.000, 0.000], [0.000, 6.296, 0.000], [0.000, 0.000, 13.507]], "species": ["Ca", "Ca", "Sm", "Sm", "Sm", "Sm", "Te", "Te", "Te", "Te", "Te", "Te"], "frac_coords": [[0.000, 0.000, 0.000], [0.500, 0.500, 0.500], [0.000, 0.000, 0.333], [0.000, 0.000, 0.667], [0.500, 0.500, 0.167], [0.500, 0.500, 0.833], [0.000, 0.500, 0.000], [0.000, 0.500, 0.336], [0.000, 0.500, 0.664], [0.500, 0.000, 0.164], [0.500, 0.000, 0.500], [0.500, 0.000, 0.836]], "e_form_raw_kj_per_mol_atoms": -140.7, "dos_ef_per_ev_cell": 5.05}

***

# 11
{"formula": "Ca2Sm3Te6", "functional": "PBE", "state": "relaxed", "lattice_angstrom": [[3.846, -6.657, 0.000], [3.846, 6.657, 0.000], [-2.566, 0.000, 7.384]], "species": ["Ca", "Ca", "Sm", "Sm", "Sm", "Te", "Te", "Te", "Te", "Te", "Te"], "frac_coords": [[0.167, 0.833, 0.000], [0.833, 0.167, 0.000], [0.000, 0.000, 0.500], [0.333, 0.667, 0.500], [0.667, 0.333, 0.500], [0.085, 0.416, 0.750], [0.252, 0.252, 0.251], [0.416, 0.085, 0.750], [0.584, 0.915, 0.250], [0.748, 0.748, 0.749], [0.915, 0.584, 0.250]], "e_form_raw_kj_per_mol_atoms": -146.1, "dos_ef_per_ev_cell": 3.79}

***

# 12
{"formula": "Ca6SmTe8", "functional": "PBE", "state": "relaxed", "lattice_angstrom": [[0.000, 6.369, 6.369], [6.369, 0.000, 6.369], [6.369, 6.369, 0.000]], "species": ["Ca", "Ca", "Ca", "Ca", "Ca", "Ca", "Sm", "Te", "Te", "Te", "Te", "Te", "Te", "Te", "Te"], "frac_coords": [[0.000, 0.000, 0.500], [0.000, 0.500, 0.000], [0.000, 0.500, 0.500], [0.500, 0.000, 0.000], [0.500, 0.000, 0.500], [0.500, 0.500, 0.000], [0.000, 0.000, 0.000], [0.248, 0.248, 0.752], [0.248, 0.752, 0.248], [0.248, 0.752, 0.752], [0.250, 0.250, 0.250], [0.750, 0.750, 0.750], [0.752, 0.248, 0.248], [0.752, 0.248, 0.752], [0.752, 0.752, 0.248]], "e_form_raw_kj_per_mol_atoms": -145.5, "dos_ef_per_ev_cell": 6.54}

***

# 13
{"formula": "CaSm6Te8", "functional": "PBE", "state": "relaxed", "lattice_angstrom": [[0.000, 6.276, 6.276], [6.276, 0.000, 6.276], [6.276, 6.276, 0.000]], "species": ["Ca", "Sm", "Sm", "Sm", "Sm", "Sm", "Sm", "Te", "Te", "Te", "Te", "Te", "Te", "Te", "Te"], "frac_coords": [[0.000, 0.000, 0.000], [0.000, 0.000, 0.500], [0.000, 0.500, 0.000], [0.000, 0.500, 0.500], [0.500, 0.000, 0.000], [0.500, 0.000, 0.500], [0.500, 0.500, 0.000], [0.250, 0.250, 0.250], [0.254, 0.254, 0.746], [0.254, 0.746, 0.254], [0.254, 0.746, 0.746], [0.746, 0.254, 0.254], [0.746, 0.254, 0.746], [0.746, 0.746, 0.254], [0.750, 0.750, 0.750]], "e_form_raw_kj_per_mol_atoms": -140.5, "dos_ef_per_ev_cell": 4.81}

***

# 14
{"formula": "CaSm4Te5", "functional": "PBE", "state": "relaxed", "lattice_angstrom": [[-2.220, 2.220, 15.852], [2.220, -2.220, 15.852], [2.220, 2.220, -15.852]], "species": ["Ca", "Sm", "Sm", "Sm", "Sm", "Te", "Te", "Te", "Te", "Te"], "frac_coords": [[0.000, 0.000, 0.000], [0.197, 0.197, 0.000], [0.396, 0.396, 0.000], [0.604, 0.604, 0.000], [0.803, 0.803, 0.000], [0.098, 0.098, 0.000], [0.297, 0.297, 0.000], [0.500, 0.500, 0.000], [0.703, 0.703, 0.000], [0.902, 0.902, 0.000]], "e_form_raw_kj_per_mol_atoms": -138.2, "de_polymorph_kj_per_mol_fu": 0.0, "dos_ef_per_ev_cell": 5.29}

***

# 15
{"formula": "CaSmTe2", "functional": "PBE", "state": "relaxed", "lattice_angstrom": [[4.349, 0.000, 0.000], [-2.174, 3.766, 0.000], [0.000, 0.000, 23.517]], "species": ["Ca", "Ca", "Ca", "Sm", "Sm", "Sm", "Te", "Te", "Te", "Te", "Te", "Te"], "frac_coords": [[0.000, 0.000, 0.000], [0.333, 0.667, 0.667], [0.667, 0.333, 0.333], [0.000, 0.000, 0.172], [0.333, 0.667, 0.839], [0.667, 0.333, 0.505], [0.000, 0.000, 0.586], [0.000, 0.000, 0.755], [0.333, 0.667, 0.252], [0.333, 0.667, 0.422], [0.667, 0.333, 0.088], [0.667, 0.333, 0.919]], "e_form_raw_kj_per_mol_atoms": -138.4, "de_polymorph_kj_per_mol_fu": 24.3, "dos_ef_per_ev_cell": 7.83}

***

# 16
{"formula": "CaSm2Te4", "functional": "PBE", "state": "relaxed", "lattice_angstrom": [[-4.743, 4.743, 4.785], [4.743, -4.743, 4.785], [4.743, 4.743, -4.785]], "species": ["Ca", "Ca", "Sm", "Sm", "Sm", "Sm", "Te", "Te", "Te", "Te", "Te", "Te", "Te", "Te"], "frac_coords": [[0.000, 0.000, 0.000], [0.750, 0.250, 0.500], [0.250, 0.125, 0.625], [0.375, 0.750, 0.875], [0.500, 0.625, 0.375], [0.875, 0.500, 0.125], [0.128, 0.380, 0.896], [0.130, 0.378, 0.396], [0.267, 0.870, 0.248], [0.483, 0.231, 0.104], [0.620, 0.517, 0.748], [0.622, 0.019, 0.752], [0.769, 0.872, 0.252], [0.981, 0.733, 0.604]], "e_form_raw_kj_per_mol_atoms": -141.3, "de_polymorph_kj_per_mol_fu": 0.0}

***

# 17
{"formula": "Ca3Sm4Te8", "functional": "PBE", "state": "relaxed", "lattice_angstrom": [[6.293, -6.307, 0.000], [6.293, 6.307, 0.000], [-6.253, 0.000, 6.326]], "species": ["Ca", "Ca", "Ca", "Sm", "Sm", "Sm", "Sm", "Te", "Te", "Te", "Te", "Te", "Te", "Te", "Te"], "frac_coords": [[0.000, 0.000, 0.000], [0.000, 0.500, 0.000], [0.500, 0.000, 0.000], [0.000, 0.500, 0.500], [0.500, 0.000, 0.500], [0.500, 0.500, 0.000], [0.500, 0.500, 0.500], [0.247, 0.247, 0.501], [0.248, 0.752, 0.500], [0.250, 0.750, 0.000], [0.251, 0.251, 0.000], [0.749, 0.749, 0.000], [0.750, 0.250, 0.000], [0.752, 0.248, 0.500], [0.753, 0.753, 0.499]], "e_form_raw_kj_per_mol_atoms": -145.9, "dos_ef_per_ev_cell": 4.30}

***

# 18
{"formula": "CaSm4Te5", "functional": "PBE", "state": "relaxed", "lattice_angstrom": [[-4.977, 4.977, 3.148], [4.977, -4.977, 3.148], [4.977, 4.977, -3.148]], "species": ["Ca", "Sm", "Sm", "Sm", "Sm", "Te", "Te", "Te", "Te", "Te"], "frac_coords": [[0.000, 0.000, 0.000], [0.198, 0.599, 0.797], [0.401, 0.198, 0.599], [0.599, 0.802, 0.401], [0.802, 0.401, 0.203], [0.099, 0.297, 0.396], [0.297, 0.901, 0.198], [0.500, 0.500, 0.000], [0.703, 0.099, 0.802], [0.901, 0.703, 0.604]], "e_form_raw_kj_per_mol_atoms": -137.5, "de_polymorph_kj_per_mol_fu": 6.5, "dos_ef_per_ev_cell": 5.47}

***

# 19
{"formula": "CaSm3Te6", "functional": "PBE", "state": "relaxed", "lattice_angstrom": [[12.670, 0.000, 0.000], [0.000, 4.417, 0.000], [-4.382, 0.000, 12.448]], "species": ["Ca", "Ca", "Sm", "Sm", "Sm", "Sm", "Sm", "Sm", "Te", "Te", "Te", "Te", "Te", "Te", "Te", "Te", "Te", "Te", "Te", "Te"], "frac_coords": [[0.044, 0.250, 0.196], [0.956, 0.750, 0.804], [0.156, 0.250, 0.580], [0.313, 0.750, 0.001], [0.432, 0.250, 0.332], [0.568, 0.750, 0.668], [0.687, 0.250, 0.999], [0.844, 0.750, 0.420], [0.085, 0.750, 0.403], [0.114, 0.250, 0.962], [0.199, 0.750, 0.752], [0.255, 0.750, 0.223], [0.392, 0.250, 0.558], [0.485, 0.250, 0.119], [0.515, 0.750, 0.881], [0.608, 0.750, 0.442], [0.745, 0.250, 0.777], [0.801, 0.250, 0.248], [0.886, 0.750, 0.038], [0.915, 0.250, 0.597]], "e_form_raw_kj_per_mol_atoms": -126.7, "dos_ef_per_ev_cell": 12.46}

***

# 20
{"formula": "Ca4SmTe5", "functional": "PBE", "state": "relaxed", "lattice_angstrom": [[-2.246, 2.246, 15.954], [2.246, -2.246, 15.954], [2.246, 2.246, -15.954]], "species": ["Ca", "Ca", "Ca", "Ca", "Sm", "Te", "Te", "Te", "Te", "Te"], "frac_coords": [[0.100, 0.100, 0.000], [0.300, 0.300, 0.000], [0.700, 0.700, 0.000], [0.900, 0.900, 0.000], [0.500, 0.500, 0.000], [0.000, 0.000, 0.000], [0.200, 0.200, 0.000], [0.401, 0.401, 0.000], [0.599, 0.599, 0.000], [0.800, 0.800, 0.000]], "e_form_raw_kj_per_mol_atoms": -153.3, "dos_ef_per_ev_cell": 2.40}